VASP calculation (PBE) on crystalline Pr3Ga2Cu2 at its relaxed geometry.

extended XYZ file:
```
28
Lattice="5.838 0.000 0.000 0.000 8.284 0.000 0.000 0.000 13.380" Properties=species:S:1:pos:R:3 pbc="T T T"
Pr 0.767 0.902 1.371
Pr 0.767 0.902 5.319
Pr 0.767 3.240 8.061
Pr 0.767 3.240 12.009
Pr 2.101 6.202 10.035
Pr 2.101 6.223 3.345
Pr 3.737 2.060 10.035
Pr 3.737 2.082 3.345
Pr 5.072 5.044 1.371
Pr 5.072 5.044 5.319
Pr 5.072 7.382 8.061
Pr 5.072 7.382 12.009
Ga 0.923 0.830 10.035
Ga 0.923 3.312 3.345
Ga 2.032 6.213 0.000
Ga 2.032 6.213 6.690
Ga 3.806 2.071 0.000
Ga 3.806 2.071 6.690
Ga 4.916 4.972 10.035
Ga 4.916 7.454 3.345
Cu 2.254 0.288 7.881
Cu 2.254 0.288 12.190
Cu 2.254 3.854 1.190
Cu 2.254 3.854 5.500
Cu 3.584 4.430 7.881
Cu 3.584 4.430 12.190
Cu 3.584 7.995 1.190
Cu 3.584 7.995 5.500
```

Results
- volume (Å³/f.u.) = 161.8
- energy of formation (kJ/mol of formula units) = -257
- calculated density (Mg/m³) = 7.07
- symmetry = Pbcm